NdAl2ZnPd4 after structural relaxation, computed with PBE.

Computed properties:
Its crystal system is trigonal.

Lattice parameters (Å, degrees): 4.2947 4.2947 26.4034 90.00 90.00 120.00
Space group R-3m (No. 166, hexagonal axes)
Asymmetric unit:
Nd 0.0000 0.0000 0.0000 x3
Al 0.0000 0.0000 0.2366 x6
Zn 0.0000 0.0000 0.5000 x3
Pd 0.0000 0.0000 0.1327 x6
Pd 0.0000 0.0000 0.4034 x6

---

Nd2Al3ZnPd4 after structural relaxation, computed with PBE.

Computed properties:
Its crystal system is tetragonal.

Lattice parameters (Å, degrees): 4.3505 4.3505 10.2460 90.00 90.00 90.00
Space group P-4m2 (No. 115)
Asymmetric unit:
Nd 0.0000 0.5000 0.2488 x2
Al 0.0000 0.5000 0.8759 x2
Al 0.5000 0.5000 0.5000 x1
Zn 0.0000 0.0000 0.5000 x1
Pd 0.0000 0.0000 0.0000 x1
Pd 0.0000 0.5000 0.6331 x2
Pd 0.5000 0.5000 0.0000 x1

---

Nd2Al3Zn4Pd after structural relaxation, computed with PBE.

Computed properties:
Its crystal system is tetragonal.

Lattice parameters (Å, degrees): 4.2537 4.2537 10.7374 90.00 90.00 90.00
Space group P-4m2 (No. 115)
Asymmetric unit:
Nd 0.0000 0.5000 0.2505 x2
Al 0.0000 0.0000 0.0000 x1
Al 0.0000 0.5000 0.6332 x2
Zn 0.0000 0.0000 0.5000 x1
Zn 0.0000 0.5000 0.8639 x2
Zn 0.5000 0.5000 0.5000 x1
Pd 0.5000 0.5000 0.0000 x1

---

Nd2AlZnPd6 after structural relaxation, computed with PBE.

Computed properties:
Its crystal system is trigonal.

Lattice parameters (Å, degrees): 5.7251 5.7251 22.2719 90.00 90.00 120.00
Space group R-3m (No. 166, hexagonal axes)
Asymmetric unit:
Nd 0.0000 0.0000 0.2114 x6
Al 0.0000 0.0000 0.0000 x3
Zn 0.0000 0.0000 0.5000 x3
Pd 0.0025 0.5013 0.2528 x18

---

In eV/atom, the calculated formation energy values for the records above are, in order, -0.77, -0.80, -0.44, -0.60.
In eV per cell, the raw total energy values for the records above are, in order, -121.5, -50.8, -35.4, -155.1.